## Pr9In3N2 (GGA-PBE)

Data for an optimized crystal structure of Pr9In3N2.

Calculated values
Formation energy (no corrections) (meV/atom): -644
Energy (eV per cell): -76.89

Lattice parameters (Å, degrees): 7.2040 7.2040 8.8218 90.00 90.00 120.00
With the nearest neighbours (Å) after each atom.
Positions (direct):
Pr: 0.0000 0.5000 0.0000  2 N 2.57
Pr: 0.1702 0.3405 0.6720  1 N 2.46
Pr: 0.1702 0.8298 0.6720  1 N 2.46
Pr: 0.3405 0.1702 0.3280  1 N 2.46
Pr: 0.5000 0.0000 0.0000  2 N 2.57
Pr: 0.5000 0.5000 0.0000  2 N 2.57
Pr: 0.6595 0.8298 0.6720  1 N 2.46
Pr: 0.8298 0.1702 0.3280  1 N 2.46
Pr: 0.8298 0.6595 0.3280  1 N 2.46
In: 0.0000 0.0000 0.0000  12 Pr 3.59-3.60
In: 0.3333 0.6667 0.3334  12 Pr 3.60-3.61
In: 0.6667 0.3333 0.6666  12 Pr 3.60-3.61
N: 0.3333 0.6667 0.8293  6 Pr 2.46-2.57
N: 0.6667 0.3333 0.1707  6 Pr 2.46-2.57